Computed, not measured: a geometry-optimized Sm3HoSc7 structure at the GGA-PBE level of DFT.

Cell lengths 5.490, 10.492, 10.768 Å; angles 90.00, 90.00, 90.00 degrees
Space group Immm (No. 71)
Inequivalent atoms, fractional coordinates:
Sm 0.000 0.000 0.000 [2 per cell]
Sm 0.000 0.285 0.500 [4 per cell]
Ho 0.000 0.500 0.000 [2 per cell]
Sc 0.000 0.000 0.500 [2 per cell]
Sc 0.000 0.191 0.218 [8 per cell]
Sc 0.000 0.500 0.292 [4 per cell]

Calculated values
The formation energy is 0.30 eV per atom. The electronic total energy comes out at -5.43 eV/atom.